Entry 1:
Rb2TaMn | PBE | relaxed

The structure in extended XYZ format:
```
4
Lattice="3.2853 1.8523 3.9567 -1.0650 -1.2052 5.2243 3.2316 -3.4714 2.7177" Properties=species:S:1:pos:R:3 pbc="T T T"
Mn 0.0000 0.0000 0.0000
Rb 1.3630 -0.7061 2.9747
Rb 4.0889 -2.1182 8.9240
Ta 2.7259 -1.4122 5.9493
```

Properties
energy of formation = 2.2978 eV/atom
space-group type = Fm-3m (225)
E above lowest polymorph = 81.3 kJ/mol of atoms

---

Entry 2:
CrBi2IrRh | PBE | relaxed

The structure in extended XYZ format:
```
5
Lattice="-1.6607 0.7734 -4.8602 -3.7973 -2.7449 0.8607 -2.6607 4.1741 1.5734" Properties=species:S:1:pos:R:3 pbc="T T T"
Cr -4.0593 1.1013 -1.2131
Ir -1.8987 -1.3725 0.4303
Rh 0.0000 0.0000 0.0000
Bi -1.3303 2.0870 0.7867
Bi -0.8303 0.3867 -2.4301
```

Properties
energy of formation = 1.5323 eV/atom
space-group type = P4/mmm (123)

---

Entry 3:
InGa3Rh | PBE | relaxed

The structure in extended XYZ format:
```
10
Lattice="6.5600 -0.3466 0.2726 2.9724 5.0255 0.0019 3.4208 1.4207 5.9889" Properties=species:S:1:pos:R:3 pbc="T T T"
In 6.3970 3.9584 2.4624
In 9.9231 5.3656 5.3603
Ga 7.5798 0.4249 2.3985
Ga 8.4287 2.9961 5.4188
Ga 6.2097 4.3410 5.3641
Ga 4.6404 2.1934 5.2728
Ga 9.2256 2.8385 2.4791
Ga 4.9606 1.5564 2.4708
Rh 2.7583 1.3268 3.7593
Rh 8.7172 4.6843 0.9917
```

Properties
energy of formation = -0.2708 eV/atom
space-group type = P1 (1)
E above lowest polymorph = 0.0 kJ/mol of atoms

---

Entry 4:
Ac6SnRu2Br3 | PBE | relaxed

The structure in extended XYZ format:
```
12
Lattice="7.7857 -0.0018 -0.0046 -3.8925 6.7428 -0.0046 -1.3032 -2.2565 8.1699" Properties=species:S:1:pos:R:3 pbc="T T T"
Ac 4.0286 1.9972 6.5126
Ac 2.4573 4.2548 1.6445
Ac -1.4387 2.4873 1.6480
Ac -0.2834 4.4876 6.5126
Ac 0.1327 0.2297 6.5161
Ac 2.8734 -0.0031 1.6480
Sn 0.0000 0.0000 0.0000
Ru -0.0024 4.4961 -0.0046
Ru 3.8956 2.2449 -0.0046
Br -2.6433 4.5168 4.0803
Br 5.2333 -0.0322 4.0803
Br 1.2950 2.2423 4.0803
```

Properties
formation energy (no corrections) = -0.9030 eV/atom
space-group type = C2/m (12)